# Th7Hg2Os2

Crystalline Th7Hg2Os2 at its relaxed geometry (PBE, Alexandria via LeMat-Bulk).

Properties
DFT formation energy = -95 meV per atom
E_tot = -6.913 eV per atom
space group = Cmmm (65)

Unit cell a=6.986 b=6.986 c=7.045 alpha=90.00 beta=90.00 gamma=105.29
Atoms (fractional coordinates):
1 Th 0.000 0.000 0.000
2 Th 0.000 0.500 0.259
3 Th 0.000 0.500 0.741
4 Th 0.500 0.000 0.259
5 Th 0.500 0.000 0.741
6 Th 0.500 0.500 0.258
7 Th 0.500 0.500 0.742
8 Hg 0.166 0.166 0.500
9 Hg 0.834 0.834 0.500
10 Os 0.284 0.716 0.000
11 Os 0.716 0.284 0.000